[1]
Material: Ba2LiAlZn2
Method: DFT, PBE
State: relaxed

a b c (Å): 9.5998 9.5998 9.5998
angles (deg): 140.11 57.41 140.48
With the nearest neighbours (Å) after each atom.
Sites, in units of the cell vectors:
Ba  0.1604  0.2427  0.4032  4 Zn 3.41-3.58, 2 Li 3.53, 2 Al 3.57
Ba  0.3396  0.7427  0.0823  4 Zn 3.41-3.58, 2 Li 3.53, 2 Al 3.57
Ba  0.6604  0.2573  0.9177  4 Zn 3.41-3.58, 2 Li 3.53, 2 Al 3.57
Ba  0.8396  0.7573  0.5968  4 Zn 3.41-3.58, 2 Li 3.53, 2 Al 3.57
Li  0.2500  0.2500  0.0000  4 Zn 2.83
Li  0.7500  0.7500  0.0000  4 Zn 2.83
Al  0.2500  0.7500  0.5000  4 Zn 2.66
Al  0.7500  0.2500  0.5000  4 Zn 2.66
Zn  0.0881  0.7288  0.8169  2 Al 2.66, 2 Li 2.83
Zn  0.4119  0.2288  0.6407  2 Al 2.66, 2 Li 2.83
Zn  0.5881  0.7712  0.3593  2 Al 2.66, 2 Li 2.83
Zn  0.9119  0.2712  0.1831  2 Al 2.66, 2 Li 2.83

Values from the calculation:
N(E_F) in states/eV/f.u.: 4.23
Formation enthalpy at 0 K in eV per atom: -0.1699
Volume in Å³ per cell: 358.0
Crystal system: orthorhombic
Symmetry: Ibam (72)

[2]
Material: Er4AgPd7
Method: DFT, PBE
State: relaxed

a b c (Å): 5.3685 5.5639 8.1910
angles (deg): 89.08 80.11 76.37
With the nearest neighbours (Å) after each atom.
Sites, in units of the cell vectors:
Er  0.0401  0.3531  0.2017  8 Pd 2.76-3.03, 1 Ag 3.02
Er  0.3874  0.7464  0.3548  7 Pd 2.79-3.09
Er  0.6126  0.2536  0.6452  7 Pd 2.79-3.09
Er  0.9599  0.6469  0.7983  8 Pd 2.76-3.03, 1 Ag 3.02
Ag  0.5000  0.0000  0.0000  8 Pd 2.77-3.03, 2 Er 3.02
Pd  0.0087  0.8442  0.1293  4 Pd 2.72-2.91, 4 Er 2.76-3.02, 2 Ag 2.99-3.03
Pd  0.1469  0.2506  0.5390  4 Pd 2.78-3.03, 5 Er 2.79-3.09
Pd  0.4198  0.8039  0.7100  1 Ag 2.77, 4 Pd 2.78-3.03, 5 Er 2.79-3.03
Pd  0.5000  0.5000  0.0000  2 Ag 2.78, 4 Pd 2.91-2.93, 2 Er 3.00
Pd  0.5802  0.1961  0.2900  1 Ag 2.77, 4 Pd 2.78-3.03, 5 Er 2.79-3.03
Pd  0.8531  0.7494  0.4610  4 Pd 2.78-3.03, 5 Er 2.79-3.09
Pd  0.9913  0.1558  0.8707  4 Pd 2.72-2.91, 4 Er 2.76-3.02, 2 Ag 2.99-3.03

Values from the calculation:
N(E_F) in states/eV/f.u.: 5.82
Formation enthalpy at 0 K in eV per atom: -0.7921
Volume in Å³ per cell: 234.2
Crystal system: triclinic
Symmetry: P-1 (2)

[3]
Material: Na2HfCoSn
Method: DFT, PBE
State: relaxed

a b c (Å): 6.0161 6.0161 5.4144
angles (deg): 90.00 90.00 90.00
With the nearest neighbours (Å) after each atom.
Sites, in units of the cell vectors:
Na  0.0000  0.5000  0.0000  2 Hf 3.01
Na  0.5000  0.0000  0.0000  2 Hf 3.01
Hf  0.0000  0.0000  0.0000  2 Sn 2.71, 4 Na 3.01
Co  0.5000  0.5000  0.5000  8 Na 4.05, 4 Sn 4.25
Sn  0.0000  0.0000  0.5000  2 Hf 2.71

Values from the calculation:
N(E_F) in states/eV/f.u.: 6.90
Formation enthalpy at 0 K in eV per atom: 1.6014
Volume in Å³ per cell: 196.0
Crystal system: tetragonal
Symmetry: P4/mmm (123)

[4]
Material: SrTePtI2
Method: DFT, PBE
State: relaxed

a b c (Å): 5.4985 5.4985 5.5580
angles (deg): 90.00 90.00 90.00
With the nearest neighbours (Å) after each atom.
Sites, in units of the cell vectors:
Sr  0.0000  0.0000  0.0000  4 Te 3.89, 8 I 3.91
Te  0.5000  0.5000  0.0000  2 Pt 2.78
Pt  0.5000  0.5000  0.5000  4 I 2.75, 2 Te 2.78
I  0.0000  0.5000  0.5000  2 Pt 2.75
I  0.5000  0.0000  0.5000  2 Pt 2.75

Values from the calculation:
N(E_F) in states/eV/f.u.: 2.98
Volume in Å³ per cell: 168.0
VASP energy in eV/atom: -3.405
Crystal system: tetragonal
Symmetry: P4/mmm (123)

[5]
Material: Mn2Cd2Pd5
Method: DFT, PBE
State: relaxed

a b c (Å): 9.2009 9.2009 9.2009
angles (deg): 143.99 57.90 136.26
With the nearest neighbours (Å) after each atom.
Sites, in units of the cell vectors:
Mn  0.1357  0.0625  0.0732  4 Pd 2.44-2.64, 1 Mn 2.51
Mn  0.4893  0.0625  0.4268  4 Pd 2.44-2.64, 1 Mn 2.51
Mn  0.5107  0.9375  0.5732  4 Pd 2.44-2.64, 1 Mn 2.51
Mn  0.8643  0.9375  0.9268  4 Pd 2.44-2.64, 1 Mn 2.51
Cd  0.0000  0.5000  0.5000  4 Pd 2.84, 4 Mn 3.11
Cd  0.1948  0.4448  0.7500  11 Pd 2.70-2.99
Cd  0.5000  0.5000  0.0000  4 Pd 2.84, 4 Mn 3.11
Cd  0.8052  0.5552  0.2500  11 Pd 2.70-2.99
Pd  0.1408  0.0000  0.6408  2 Mn 2.64, 2 Cd 2.84, 2 Pd 2.84
Pd  0.1408  0.5000  0.1408  2 Mn 2.64, 2 Cd 2.84, 2 Pd 2.84
Pd  0.1994  0.9494  0.2500  3 Cd 2.70-2.84, 8 Pd 2.84-3.01, 2 Mn 2.95
Pd  0.4174  0.0000  0.9174  2 Mn 2.44, 1 Pd 2.66
Pd  0.4174  0.5000  0.4174  2 Mn 2.44, 1 Pd 2.66
Pd  0.5826  0.0000  0.0826  2 Mn 2.44, 1 Pd 2.66
Pd  0.5826  0.5000  0.5826  2 Mn 2.44, 1 Pd 2.66
Pd  0.8006  0.0506  0.7500  3 Cd 2.70-2.84, 8 Pd 2.84-3.01, 2 Mn 2.95
Pd  0.8592  0.0000  0.3592  2 Mn 2.64, 2 Cd 2.84, 2 Pd 2.84
Pd  0.8592  0.5000  0.8592  2 Mn 2.64, 2 Cd 2.84, 2 Pd 2.84

Values from the calculation:
N(E_F) in states/eV/f.u.: 3.50
Formation enthalpy at 0 K in eV per atom: -0.0292
Volume in Å³ per cell: 313.9
Crystal system: orthorhombic
Symmetry: Imma (74)

[6]
Material: SrNi5Ge2
Method: DFT, PBE
State: relaxed

a b c (Å): 6.1169 6.1169 6.1169
angles (deg): 144.27 113.20 78.12
With the nearest neighbours (Å) after each atom.
Sites, in units of the cell vectors:
Sr  0.0000  0.0000  0.0000  4 Ge 3.07, 10 Ni 3.16-3.37
Ni  0.1703  0.3536  0.8166  3 Ge 2.37-2.43, 3 Ni 2.47-2.64
Ni  0.4630  0.6464  0.8166  3 Ge 2.37-2.43, 3 Ni 2.47-2.64
Ni  0.5000  0.0000  0.5000  2 Ge 2.32
Ni  0.5370  0.3536  0.1834  3 Ge 2.37-2.43, 3 Ni 2.47-2.64
Ni  0.8297  0.6464  0.1834  3 Ge 2.37-2.43, 3 Ni 2.47-2.64
Ge  0.2562  0.7562  0.5000  7 Ni 2.32-2.43
Ge  0.7438  0.2438  0.5000  7 Ni 2.32-2.43

Values from the calculation:
N(E_F) in states/eV/f.u.: 4.60
Formation enthalpy at 0 K in eV per atom: -0.2842
Volume in Å³ per cell: 120.0
Crystal system: orthorhombic
Symmetry: Immm (71)

[7]
Material: BaCdPb2
Method: DFT, PBE
State: relaxed

a b c (Å): 11.3467 4.8131 9.9018
angles (deg): 90.00 90.00 90.00
With the nearest neighbours (Å) after each atom.
Sites, in units of the cell vectors:
Ba  0.0915  0.2500  0.1748  8 Pb 3.49-3.88, 2 Cd 3.82
Ba  0.4085  0.7500  0.6748  8 Pb 3.49-3.88, 2 Cd 3.82
Ba  0.5915  0.2500  0.3252  8 Pb 3.49-3.88, 2 Cd 3.82
Ba  0.9085  0.7500  0.8252  8 Pb 3.49-3.88, 2 Cd 3.82
Cd  0.0986  0.7500  0.4746  5 Pb 3.29-3.42, 2 Cd 3.33
Cd  0.4014  0.2500  0.9746  5 Pb 3.29-3.42, 2 Cd 3.33
Cd  0.5986  0.7500  0.0254  5 Pb 3.29-3.42, 2 Cd 3.33
Cd  0.9014  0.2500  0.5254  5 Pb 3.29-3.42, 2 Cd 3.33
Pb  0.1420  0.2500  0.7146  3 Pb 3.22-3.36, 3 Cd 3.31-3.42
Pb  0.2057  0.7500  0.9404  3 Pb 3.22-3.36, 2 Cd 3.29, 4 Ba 3.49-3.59
Pb  0.2943  0.2500  0.4404  3 Pb 3.22-3.36, 2 Cd 3.29, 4 Ba 3.49-3.59
Pb  0.3580  0.7500  0.2146  3 Pb 3.22-3.36, 3 Cd 3.31-3.42
Pb  0.6420  0.2500  0.7854  3 Pb 3.22-3.36, 3 Cd 3.31-3.42
Pb  0.7057  0.7500  0.5596  3 Pb 3.22-3.36, 2 Cd 3.29, 4 Ba 3.49-3.59
Pb  0.7943  0.2500  0.0596  3 Pb 3.22-3.36, 2 Cd 3.29, 4 Ba 3.49-3.59
Pb  0.8580  0.7500  0.2854  3 Pb 3.22-3.36, 3 Cd 3.31-3.42

Values from the calculation:
N(E_F) in states/eV/f.u.: 1.94
Formation enthalpy at 0 K in eV per atom: -0.3111
Volume in Å³ per cell: 540.8
Crystal system: orthorhombic
Symmetry: Pnma (62)

[8]
Material: CdTc2Ag
Method: DFT, PBE
State: relaxed

a b c (Å): 4.7766 2.8111 5.1467
angles (deg): 90.00 107.69 90.00
With the nearest neighbours (Å) after each atom.
Sites, in units of the cell vectors:
Cd  0.0000  0.0000  0.0000  4 Ag 2.77, 2 Cd 2.81, 6 Tc 2.93
Tc  0.0000  0.5000  0.5000  6 Tc 2.77-2.81, 2 Ag 2.93, 4 Cd 2.93
Tc  0.5000  0.0000  0.5000  6 Tc 2.77-2.81, 2 Cd 2.93, 4 Ag 2.93
Ag  0.5000  0.5000  0.0000  4 Cd 2.77, 2 Ag 2.81, 6 Tc 2.93

Values from the calculation:
N(E_F) in states/eV/f.u.: 3.75
Formation enthalpy at 0 K in eV per atom: 0.5082
Volume in Å³ per cell: 65.8
Crystal system: monoclinic
Symmetry: P2/m (10)

- Which value of N(E_F) does entry 1 give?
  4.23 states/eV/f.u.

- Among the records above, which one has the highest volume?
  BaCdPb2